## NaCdI3 (PBEsol)

Data for an optimized crystal structure of NaCdI3.

Lattice parameters (Å, degrees): 5.832 5.832 5.832 90.00 90.00 90.00
Atoms (fractional coordinates):
Na  0.000  0.000  0.000
Cd  0.500  0.500  0.500
I  0.000  0.500  0.500
I  0.500  0.000  0.500
I  0.500  0.500  0.000

Properties
**SG**: Pm-3m
**Calculated volume**: 198.4 Å³/cell
**Formation energy without anion corrections**: -59.6 kJ per mole of atoms
**Energy**: -10.99 eV/f.u.

## CsInO3 (PBEsol)

Data for an optimized crystal structure of CsInO3.

Lattice parameters (Å, degrees): 4.443 4.443 4.443 90.00 90.00 90.00
Atoms (fractional coordinates):
Cs  0.000  0.000  0.000
In  0.500  0.500  0.500
O  0.000  0.000  0.500
O  0.000  0.500  0.000
O  0.500  0.000  0.000

Properties
**SG**: Pm-3m
**Calculated volume**: 87.7 Å³/cell
**Formation energy without anion corrections**: 37.9 kJ per mole of atoms
**Energy**: -17.71 eV/f.u.

## YHS2 (PBEsol)

Data for an optimized crystal structure of YHS2.

Lattice parameters (Å, degrees): 7.444 7.444 7.444 26.65 26.65 26.65
Atoms (fractional coordinates):
Y  0.000  0.000  0.000
H  0.500  0.500  0.500
S  0.118  0.118  0.118
S  0.882  0.882  0.882

Properties
**SG**: R-3m
**Calculated volume**: 73.1 Å³/cell
**ΔE to the lowest computed polymorph**: 702.5 kJ/mol of formula units
**Energy**: -16.90 eV/f.u.

## CaTa2Al (PBEsol)

Data for an optimized crystal structure of CaTa2Al.

Lattice parameters (Å, degrees): 4.958 4.958 5.932 95.54 95.54 34.02
Atoms (fractional coordinates):
Ca  0.000  0.000  0.000
Ta  0.229  0.229  0.685
Ta  0.491  0.491  0.502
Al  0.755  0.755  0.282

Properties
**DFT formation energy**: 0.331 eV per atom
**SG**: Cm
**Calculated volume**: 81.2 Å³/cell
**Energy**: -30.00 eV/f.u.

## NdAl2Si2 (PBEsol)

Data for an optimized crystal structure of NdAl2Si2.

Lattice parameters (Å, degrees): 4.201 4.201 6.732 90.00 90.00 120.00
Atoms (fractional coordinates):
Nd  0.000  0.000  0.000
Al  0.333  0.667  0.641
Al  0.667  0.333  0.359
Si  0.333  0.667  0.266
Si  0.667  0.333  0.734

Properties
**SG**: P-3m1
**Calculated volume**: 102.9 Å³/cell
**Formation energy without anion corrections**: -39.1 kJ per mole of atoms
**Energy**: -26.87 eV/f.u.

## YMoAu4 (PBEsol)

Data for an optimized crystal structure of YMoAu4.

Lattice parameters (Å, degrees): 5.433 5.433 5.433 60.00 60.00 60.00
Atoms (fractional coordinates):
Y  0.000  0.000  0.000
Mo  0.750  0.750  0.750
Au  0.375  0.375  0.375
Au  0.375  0.375  0.874
Au  0.375  0.874  0.375
Au  0.874  0.375  0.375

Properties
**DFT formation energy**: 0.036 eV per atom
**SG**: F-43m
**Calculated volume**: 113.4 Å³/cell
**Energy**: -34.07 eV/f.u.

## FeRe2Cl (PBEsol)

Data for an optimized crystal structure of FeRe2Cl.

Lattice parameters (Å, degrees): 2.919 2.919 6.396 90.00 90.00 90.00
Atoms (fractional coordinates):
Fe  0.000  0.000  0.000
Re  0.500  0.500  0.220
Re  0.500  0.500  0.780
Cl  0.000  0.000  0.500

Properties
**SG**: P4/mmm
**Calculated volume**: 54.5 Å³/cell
**Formation energy without anion corrections**: 63.3 kJ per mole of atoms
**ΔE to the lowest computed polymorph**: 66.4 kJ/mol of formula units
**Energy**: -35.01 eV/f.u.

## AgPtPb2 (PBEsol)

Data for an optimized crystal structure of AgPtPb2.

Lattice parameters (Å, degrees): 4.441 5.565 5.565 38.95 90.00 90.00
Atoms (fractional coordinates):
Ag  0.000  0.000  0.000
Pt  0.500  0.162  0.162
Pb  0.000  0.725  0.725
Pb  0.500  0.439  0.439

Properties
**DFT formation energy**: -0.023 eV per atom
**SG**: Amm2
**Calculated volume**: 86.5 Å³/cell
**ΔE to the lowest computed polymorph**: 0.0 kJ/mol of formula units
**Energy**: -18.36 eV/f.u.

## Ba6Br2N3Cl (PBEsol)

Data for an optimized crystal structure of Ba6Br2N3Cl.

Lattice parameters (Å, degrees): 9.978 9.978 9.086 110.81 110.81 23.73
Atoms (fractional coordinates):
Ba  0.013  0.013  0.220
Ba  0.320  0.320  0.451
Ba  0.348  0.348  0.881
Ba  0.652  0.652  0.119
Ba  0.680  0.680  0.549
Ba  0.987  0.987  0.780
Br  0.167  0.167  0.835
Br  0.833  0.833  0.165
N  0.166  0.166  0.335
N  0.500  0.500  0.000
N  0.834  0.834  0.665
Cl  0.500  0.500  0.500

Properties
**SG**: C2/m
**Calculated volume**: 339.2 Å³/cell
**Formation energy without anion corrections**: -123.6 kJ per mole of atoms
**ΔE to the lowest computed polymorph**: 3.4 kJ/mol of formula units
**Energy**: -59.59 eV/f.u.

## Li2MnSe (PBEsol)

Data for an optimized crystal structure of Li2MnSe.

Lattice parameters (Å, degrees): 3.070 3.070 5.843 90.00 90.00 90.00
Atoms (fractional coordinates):
Li  0.000  0.000  0.000
Li  0.500  0.500  0.288
Mn  0.000  0.000  0.544
Se  0.500  0.500  0.721

Properties
**SG**: P4mm
**Calculated volume**: 55.1 Å³/cell
**Formation energy without anion corrections**: -12.1 kJ per mole of atoms
**Energy**: -18.04 eV/f.u.

## Ca2PH (PBEsol)

Data for an optimized crystal structure of Ca2PH.

Lattice parameters (Å, degrees): 4.740 4.740 4.740 60.00 60.00 60.00
Atoms (fractional coordinates):
Ca  0.250  0.250  0.250
Ca  0.750  0.750  0.750
P  0.000  0.000  0.000
H  0.500  0.500  0.500

Properties
**SG**: Fm-3m
**Calculated volume**: 75.3 Å³/cell
**ΔE to the lowest computed polymorph**: 0.0 kJ/mol of formula units
**Energy**: -16.56 eV/f.u.

## HfCr3P (PBEsol)

Data for an optimized crystal structure of HfCr3P.

Lattice parameters (Å, degrees): 4.638 4.638 4.638 90.00 90.00 90.00
Atoms (fractional coordinates):
Hf  0.000  0.000  0.000
Cr  0.000  0.000  0.500
Cr  0.000  0.500  0.000
Cr  0.500  0.000  0.000
P  0.500  0.500  0.500

Properties
**DFT formation energy**: 2.061 eV per atom
**SG**: Pm-3m
**Calculated volume**: 99.7 Å³/cell
**Energy**: -36.71 eV/f.u.

## TiFe2 (PBEsol)

Data for an optimized crystal structure of TiFe2.

Lattice parameters (Å, degrees): 4.633 4.633 7.621 90.00 90.00 120.00
Atoms (fractional coordinates):
Ti  0.333  0.667  0.065
Ti  0.333  0.667  0.435
Ti  0.667  0.333  0.565
Ti  0.667  0.333  0.935
Fe  0.000  0.000  0.000
Fe  0.000  0.000  0.500
Fe  0.171  0.342  0.750
Fe  0.171  0.829  0.750
Fe  0.342  0.171  0.250
Fe  0.658  0.829  0.750
Fe  0.829  0.171  0.250
Fe  0.829  0.658  0.250

Properties
**DFT formation energy**: -0.313 eV per atom
**SG**: P6_3/mmc
**Calculated volume**: 141.7 Å³/cell
**Energy**: -27.19 eV/f.u.

## K3TiMo (PBEsol)

Data for an optimized crystal structure of K3TiMo.

Lattice parameters (Å, degrees): 6.597 6.597 6.597 90.00 90.00 90.00
Atoms (fractional coordinates):
K  0.000  0.000  0.500
K  0.000  0.500  0.000
K  0.500  0.000  0.000
Ti  0.500  0.500  0.500
Mo  0.000  0.000  0.000

Properties
**DFT formation energy**: 2.041 eV per atom
**SG**: Pm-3m
**Calculated volume**: 287.1 Å³/cell
**Energy**: -13.29 eV/f.u.

## SnHg2B (PBEsol)

Data for an optimized crystal structure of SnHg2B.

Lattice parameters (Å, degrees): 4.867 4.867 4.867 60.00 60.00 60.00
Atoms (fractional coordinates):
Sn  0.000  0.000  0.000
Hg  0.250  0.250  0.250
Hg  0.750  0.750  0.750
B  0.500  0.500  0.500

Properties
**DFT formation energy**: 0.975 eV per atom
**SG**: Fm-3m
**Calculated volume**: 81.5 Å³/cell
**Energy**: -8.51 eV/f.u.

## MgSbMo (PBEsol)

Data for an optimized crystal structure of MgSbMo.

Lattice parameters (Å, degrees): 3.208 3.208 6.782 90.00 90.00 120.00
Atoms (fractional coordinates):
Mg  0.000  0.000  0.000
Sb  0.667  0.333  0.388
Mo  0.333  0.667  0.678

Properties
**SG**: P3m1
**Calculated volume**: 60.5 Å³/cell
**Formation energy without anion corrections**: 30.3 kJ per mole of atoms
**ΔE to the lowest computed polymorph**: 0.0 kJ/mol of formula units
**Energy**: -17.10 eV/f.u.

## Cs2ZnReBr (PBEsol)

Data for an optimized crystal structure of Cs2ZnReBr.

Lattice parameters (Å, degrees): 6.628 6.628 4.869 90.00 90.00 90.00
Atoms (fractional coordinates):
Cs  0.000  0.500  0.000
Cs  0.500  0.000  0.000
Zn  0.000  0.000  0.000
Re  0.000  0.000  0.500
Br  0.500  0.500  0.500

Properties
**SG**: P4/mmm
**Calculated volume**: 213.9 Å³/cell
**Formation energy without anion corrections**: 64.4 kJ per mole of atoms
**Energy**: -15.33 eV/f.u.

## TlCoW (PBEsol)

Data for an optimized crystal structure of TlCoW.

Lattice parameters (Å, degrees): 2.924 2.924 6.537 90.00 90.00 120.00
Atoms (fractional coordinates):
Tl  0.000  0.000  0.000
Co  0.333  0.667  0.337
W  0.667  0.333  0.610

Properties
**DFT formation energy**: 0.670 eV per atom
**SG**: P3m1
**Calculated volume**: 48.4 Å³/cell
**Energy**: -22.16 eV/f.u.

## InCoMo3 (PBEsol)

Data for an optimized crystal structure of InCoMo3.

Lattice parameters (Å, degrees): 4.774 4.774 4.774 90.00 90.00 90.00
Atoms (fractional coordinates):
In  0.000  0.000  0.000
Co  0.500  0.500  0.500
Mo  0.000  0.000  0.500
Mo  0.000  0.500  0.000
Mo  0.500  0.000  0.000

Properties
**DFT formation energy**: 2.943 eV per atom
**SG**: Pm-3m
**Calculated volume**: 108.8 Å³/cell
**Energy**: -31.31 eV/f.u.

## Tm2Se3 (PBEsol)

Data for an optimized crystal structure of Tm2Se3.

Lattice parameters (Å, degrees): 14.021 14.021 14.021 144.95 144.95 50.41
Atoms (fractional coordinates):
Tm  0.048  0.422  0.891
Tm  0.167  0.167  0.000
Tm  0.172  0.298  0.391
Tm  0.219  0.828  0.126
Tm  0.258  0.125  0.633
Tm  0.375  0.742  0.867
Tm  0.492  0.625  0.367
Tm  0.531  0.157  0.109
Tm  0.578  0.469  0.626
Tm  0.583  0.083  0.500
Tm  0.702  0.093  0.874
Tm  0.833  0.833  0.000
Tm  0.843  0.952  0.374
Tm  0.875  0.508  0.133
Tm  0.907  0.781  0.609
Tm  0.917  0.417  0.500
Se  0.002  0.111  0.246
Se  0.074  0.827  0.610
Se  0.173  0.783  0.248
Se  0.188  0.089  0.743
Se  0.195  0.596  0.757
Se  0.214  0.467  0.890
Se  0.217  0.464  0.390
Se  0.244  0.998  0.109
Se  0.346  0.445  0.257
Se  0.404  0.161  0.599
Se  0.506  0.116  0.254
Se  0.533  0.423  0.748
Se  0.536  0.926  0.752
Se  0.555  0.812  0.901
Se  0.562  0.805  0.401
Se  0.577  0.324  0.110
Se  0.676  0.786  0.252
Se  0.748  0.494  0.609
Se  0.839  0.438  0.243
Se  0.861  0.252  0.746
Se  0.866  0.756  0.754
Se  0.884  0.139  0.391
Se  0.889  0.134  0.891
Se  0.911  0.654  0.099

Properties
**SG**: I-42d
**Calculated volume**: 904.4 Å³/cell
**Formation energy without anion corrections**: -177.3 kJ per mole of atoms
**Energy**: -30.54 eV/f.u.